Entry 1:
DFT (PBE) results for Tb3TlTe after structural relaxation.

The structure belongs to space group Pnma (No. 62); the cell edges are 8.199, 4.483 and 16.340 Å and the angles 90.00°, 90.00° and 90.00°. Symmetry generates all atoms from Tb at (0.014, 0.250, 0.109), Tb at (0.134, 0.250, 0.559), Tb at (0.182, 0.750, 0.263), Tl at (0.087, 0.750, 0.695) and Te at (0.224, 0.250, 0.948).

The density comes out at 8.94 g/cm³. The excess energy over the best structure of this formula in the dataset is 0 meV per atom.

Entry 2:
DFT (PBE) results for TbTl2Te3 after structural relaxation.

The structure belongs to space group C2/m (No. 12); the cell edges are 7.845, 13.698 and 8.245 Å and the angles 90.00°, 107.60° and 90.00°. Symmetry generates all atoms from Tb at (0.000, 0.170, 0.000), Tl at (0.000, 0.000, 0.500), Tl at (0.000, 0.335, 0.500), Tl at (0.000, 0.500, 0.000), Te at (0.225, 0.000, 0.218) and Te at (0.249, 0.326, 0.226).

The density comes out at 7.48 g/cm³. For the total energy, the calculation gives -92.63 eV/cell.

Entry 3:
DFT (PBE) results for TbTlTe2 after structural relaxation.

The structure belongs to space group R3m (No. 160, hexagonal axes); the cell edges are 4.4446, 4.4446 and 25.0403 Å and the angles 90.00°, 90.00° and 120.00°. Symmetry generates all atoms from Tb at (0.0000, 0.0000, 0.0000), Tl at (0.0000, 0.0000, 0.1684), Te at (0.0000, 0.0000, 0.4042) and Te at (0.0000, 0.0000, 0.5964).

The density comes out at 7.19 g/cm³. For the total energy, the calculation gives -52.37 eV/cell.

Entry 4:
DFT (PBE) results for Tb7TlTe2 after structural relaxation.

The structure belongs to space group Cmmm (No. 65); the cell edges are 8.880, 14.814 and 5.498 Å and the angles 90.00°, 90.00° and 90.00°. Symmetry generates all atoms from Tb at (0.000, 0.000, 0.000), Tb at (0.000, 0.270, 0.500), Tb at (0.184, 0.380, 0.000), Tl at (0.000, 0.500, 0.500) and Te at (0.000, 0.202, 0.000).

The density comes out at 7.22 g/cm³. For the total energy, the calculation gives -84.28 eV/cell.

Entry 5:
DFT (PBE) results for Tb4TlTe2 after structural relaxation.

The structure belongs to space group I4_1/amd (No. 141, origin choice 2); the cell edges are 9.650, 9.650 and 9.447 Å and the angles 90.00°, 90.00° and 90.00°. Symmetry generates all atoms from Tb at (0.000, 0.060, 0.183), Tl at (0.000, 0.250, 0.875) and Te at (0.000, 0.000, 0.500).

The density comes out at 8.27 g/cm³. For the total energy, the calculation gives -130.50 eV/cell.

Entry 6:
DFT (PBE) results for Tb4TlTe3 after structural relaxation.

The structure belongs to space group P2/c (No. 13); the cell edges are 7.608, 8.820 and 7.603 Å and the angles 90.00°, 109.55° and 90.00°. Symmetry generates all atoms from Tb at (0.242, 0.120, 0.001), Tb at (0.242, 0.367, 0.492), Tl at (0.000, 0.125, 0.250), Te at (0.000, 0.376, 0.750), Te at (0.500, 0.127, 0.750) and Te at (0.500, 0.378, 0.250).

The density comes out at 8.45 g/cm³. The excess energy over the best structure of this formula in the dataset is 0 meV per atom.

Entry 7:
DFT (PBE) results for Tb4Tl2Te5 after structural relaxation.

The structure belongs to space group C2/m (No. 12); the cell edges are 18.974, 4.332 and 8.951 Å and the angles 90.00°, 105.35° and 90.00°. Symmetry generates all atoms from Tb at (0.058, 0.000, 0.274), Tb at (0.145, 0.500, 0.897), Tl at (0.188, 0.500, 0.442), Te at (0.000, 0.500, 0.000), Te at (0.092, 0.000, 0.648) and Te at (0.198, 0.000, 0.143).

The density comes out at 7.87 g/cm³. For the total energy, the calculation gives -99.95 eV/cell.

Entry 8:
DFT (PBE) results for Tb10Tl3Te3 after structural relaxation.

The structure belongs to space group P-62m (No. 189); the cell edges are 9.0526, 9.0526 and 6.4490 Å and the angles 90.00°, 90.00° and 120.00°. Symmetry generates all atoms from Tb at (0.0000, 0.2383, 0.0000), Tb at (0.0000, 0.7574, 0.5000), Tb at (0.3333, 0.6667, 0.2498), Tl at (0.0000, 0.6080, 0.0000) and Te at (0.0000, 0.3877, 0.5000).

The density comes out at 9.38 g/cm³. For the total energy, the calculation gives -73.61 eV/cell.

Entry 9:
DFT (PBE) results for Tb3Tl5Te12 after structural relaxation.

The structure belongs to space group Ia-3d (No. 230); the cell edges are 18.092, 18.092 and 18.092 Å and the angles 90.00°, 90.00° and 90.00°. Symmetry generates all atoms from Tb at (0.000, 0.250, 0.125), Tl at (0.000, 0.000, 0.000), Tl at (0.000, 0.250, 0.375) and Te at (0.014, 0.074, 0.658).

The density comes out at 6.80 g/cm³. For the total energy, the calculation gives -583.71 eV/cell.

Entry 10:
DFT (PBE) results for Tb5TlTe5 after structural relaxation.

The structure belongs to space group C2/m (No. 12); the cell edges are 13.879, 6.203 and 8.732 Å and the angles 90.00°, 108.43° and 90.00°. Symmetry generates all atoms from Tb at (0.000, 0.000, 0.000), Tb at (0.163, 0.500, 0.831), Tb at (0.164, 0.500, 0.332), Tl at (0.000, 0.500, 0.000), Te at (0.000, 0.500, 0.500), Te at (0.166, 0.000, 0.831) and Te at (0.169, 0.000, 0.336).

The density comes out at 7.62 g/cm³. For the total energy, the calculation gives -109.08 eV/cell.

Entry 11:
DFT (PBE) results for TbTl5Te4 after structural relaxation.

The structure belongs to space group C2/m (No. 12); the cell edges are 20.077, 4.630 and 9.007 Å and the angles 90.00°, 116.05° and 90.00°. Symmetry generates all atoms from Tb at (0.000, 0.000, 0.000), Tl at (0.000, 0.000, 0.500), Tl at (0.149, 0.500, 0.507), Tl at (0.205, 0.500, 0.082), Te at (0.038, 0.500, 0.813) and Te at (0.163, 0.000, 0.276).

The density comes out at 7.47 g/cm³. For the total energy, the calculation gives -69.50 eV/cell.

Entry 12:
DFT (PBE) results for TbTm3Tl4Te8 after structural relaxation.

The structure belongs to space group R-3m (No. 166, hexagonal axes); the cell edges are 8.8482, 8.8482 and 24.5664 Å and the angles 90.00°, 90.00° and 120.00°. Symmetry generates all atoms from Tb at (0.0000, 0.0000, 0.0000), Tm at (0.0000, 0.5000, 0.0000), Tl at (0.0000, 0.0000, 0.5000), Tl at (0.0000, 0.5000, 0.5000), Te at (0.0000, 0.0000, 0.2634) and Te at (0.0034, 0.5017, 0.2628).

The density comes out at 7.49 g/cm³. For the total energy, the calculation gives -207.62 eV/cell.